No. 1
14
Lattice="9.001 0.000 0.000 -4.501 7.795 0.000 0.000 0.000 6.127" Properties=species:S:1:pos:R:3 comment="Er3ZnSn3 | Alexandria | PBE | optimized geometry" relative_energy_ev_per_atom=0.283 pbc="T T T"
Er -1.216 2.820 1.532
Er -1.450 7.439 1.532
Er 1.834 2.464 4.596
Er 2.666 5.332 1.532
Er 5.951 0.357 4.596
Er 5.717 4.975 4.596
Zn 0.000 5.197 4.596
Zn 4.501 2.598 1.532
Sn -1.186 2.740 4.596
Sn -1.535 7.453 4.596
Sn 1.780 2.397 1.532
Sn 2.721 5.398 4.596
Sn 6.035 0.342 1.532
Sn 5.687 5.056 1.532



No. 2
Tb6AlCo2: optimized geometry, PBE.

```
18
Lattice="-4.653 4.788 4.984 4.653 -4.788 4.984 4.653 4.788 -4.984" Properties=species:S:1:pos:R:3 pbc="T T T"
Tb 4.653 2.890 -2.611
Tb 2.630 1.744 0.000
Tb 6.676 1.744 0.000
Tb 1.745 4.788 -1.750
Tb 2.908 0.000 3.234
Tb 0.000 1.898 2.372
Tb 4.653 2.890 2.611
Tb 1.745 4.788 1.750
Tb 2.908 0.000 6.733
Tb -2.023 3.044 4.984
Tb 2.023 3.044 4.984
Tb 0.000 1.898 7.595
Al 0.000 0.000 0.000
Al 0.000 0.000 4.984
Co 4.653 0.000 1.137
Co 0.000 3.134 0.000
Co 0.000 6.442 0.000
Co 0.000 4.788 3.847
```



Energy of formation in eV/atom, matching the order above: -0.318 -0.234
V in Å³/cell, matching the order above: 430.0 444.1